Entry 1:
CsBeBiTe3: optimized geometry, GGA-PBE.

abc: 10.5792 4.3644 10.8697
angles: 90.00 111.28 90.00
With the nearest neighbours (Å) after each atom.
Positions (direct):
Cs (0.2395, 0.2500, 0.2015)  7 Te 3.91-3.96, 2 Cs 4.36
Cs (0.7605, 0.7500, 0.7985)  7 Te 3.91-3.96, 2 Cs 4.36
Be (0.3986, 0.7500, 0.9231)  4 Te 2.46-2.60
Be (0.6014, 0.2500, 0.0769)  4 Te 2.46-2.60
Bi (0.1342, 0.2500, 0.6652)  6 Te 3.02-3.34
Bi (0.8658, 0.7500, 0.3348)  6 Te 3.02-3.34
Te (0.1535, 0.7500, 0.8777)  1 Be 2.46
Te (0.1705, 0.7500, 0.4688)  3 Bi 3.02-3.17
Te (0.4680, 0.2500, 0.8334)  3 Be 2.51-2.60
Te (0.5320, 0.7500, 0.1666)  3 Be 2.51-2.60
Te (0.8295, 0.2500, 0.5312)  3 Bi 3.02-3.17
Te (0.8465, 0.2500, 0.1223)  1 Be 2.46

Computed properties:
- Space-group type: P2_1/m
- Formation energy without anion corrections: -0.512 eV/atom
- E: -41.916 eV for the cell shown


Entry 2:
MgIn8Hg2: optimized geometry, GGA-PBE.

abc: 8.1521 8.1521 5.0136
angles: 97.72 97.72 72.51
With the nearest neighbours (Å) after each atom.
Positions (direct):
Mg (0.0000, 0.0000, 0.0000)  4 Hg 2.89-3.07, 6 In 3.11-3.18
In (0.1913, 0.6385, 0.1924)  1 Hg 3.08, 5 In 3.08-3.38, 1 Mg 3.11
In (0.2452, 0.2452, 0.0971)  2 Hg 2.91-3.00, 4 In 3.08-3.20, 1 Mg 3.18
In (0.3615, 0.8087, 0.8076)  1 Hg 3.08, 5 In 3.08-3.38, 1 Mg 3.11
In (0.3964, 0.3964, 0.6679)  9 In 3.16-3.43, 1 Hg 3.53
In (0.6036, 0.6036, 0.3321)  9 In 3.16-3.43, 1 Hg 3.53
In (0.6385, 0.1913, 0.1924)  1 Hg 3.08, 5 In 3.08-3.38, 1 Mg 3.11
In (0.7548, 0.7548, 0.9029)  2 Hg 2.91-3.00, 4 In 3.08-3.20, 1 Mg 3.18
In (0.8087, 0.3615, 0.8076)  1 Hg 3.08, 5 In 3.08-3.38, 1 Mg 3.11
Hg (0.1244, 0.1244, 0.5331)  2 Mg 2.89-3.07, 4 In 2.91-3.08, 1 Hg 3.23
Hg (0.8756, 0.8756, 0.4669)  2 Mg 2.89-3.07, 4 In 2.91-3.08, 1 Hg 3.23

Computed properties:
- Energy relative to the elements: 4 kJ/mol of atoms
- Space-group type: C2/m
- DOS(E_F): 0.4380 states/eV per atom
- E: -23.616 eV for the cell shown


Entry 3:
SnSN: optimized geometry, GGA-PBE.

abc: 3.2314 4.7041 9.2348
angles: 83.75 81.77 71.28
With the nearest neighbours (Å) after each atom.
Positions (direct):
Sn (0.0000, 0.0000, 0.0000)  1 N 2.18
Sn (0.0763, 0.4709, 0.2697)  1 N 2.14
S (0.6618, 0.0985, 0.4680)  1 N 1.54
S (0.7468, 0.4688, 0.7920)  1 N 1.56
N (0.2703, 0.6862, 0.8278)  1 S 1.56
N (0.8269, 0.7585, 0.4470)  1 S 1.54

Computed properties:
- Space-group type: P1
- Formation energy without anion corrections: 0.534 eV/atom
- DOS(E_F): 0.3747 states/eV per atom
- E: -29.708 eV for the cell shown


Entry 4:
Dy2YHo6: optimized geometry, GGA-PBE.

abc: 3.5371 8.6469 9.3432
angles: 90.05 100.84 90.04
With the nearest neighbours (Å) after each atom.
Positions (direct):
Dy (0.0559, 0.3347, 0.1116)  3 Dy 3.52-3.54, 7 Ho 3.52-3.55, 2 Y 3.54
Dy (0.9441, 0.6653, 0.8884)  3 Dy 3.52-3.54, 7 Ho 3.52-3.55, 2 Y 3.54
Y (0.5000, 0.0000, 0.0000)  6 Ho 3.53-3.55, 2 Y 3.54, 4 Dy 3.54
Ho (0.1675, 0.0002, 0.3346)  9 Ho 3.51-3.54, 2 Y 3.54-3.55, 1 Dy 3.54
Ho (0.2772, 0.6667, 0.5556)  10 Ho 3.52-3.54, 2 Dy 3.53
Ho (0.3886, 0.3330, 0.7769)  4 Dy 3.52-3.55, 7 Ho 3.52-3.54, 1 Y 3.53
Ho (0.6114, 0.6670, 0.2231)  4 Dy 3.52-3.55, 7 Ho 3.52-3.54, 1 Y 3.53
Ho (0.7228, 0.3333, 0.4444)  10 Ho 3.52-3.54, 2 Dy 3.53
Ho (0.8325, 0.9998, 0.6654)  9 Ho 3.51-3.54, 2 Y 3.54-3.55, 1 Dy 3.54

Computed properties:
- Energy relative to the elements: 2 kJ/mol of atoms
- Space-group type: P-1
- DOS(E_F): 1.3832 states/eV per atom
- E: -42.957 eV for the cell shown


Entry 5:
Hg3PdSe: optimized geometry, GGA-PBE.

abc: 5.4205 5.4205 5.4205
angles: 90.00 90.00 90.00
With the nearest neighbours (Å) after each atom.
Positions (direct):
Hg (0.0000, 0.0000, 0.5000)  2 Se 2.71
Hg (0.0000, 0.5000, 0.0000)  2 Se 2.71
Hg (0.5000, 0.0000, 0.0000)  2 Se 2.71
Pd (0.5000, 0.5000, 0.5000)  12 Hg 3.83
Se (0.0000, 0.0000, 0.0000)  6 Hg 2.71

Computed properties:
- Space-group type: Pm-3m
- Formation energy without anion corrections: 0.664 eV/atom
- DOS(E_F): 0.8781 states/eV per atom
- E: -6.262 eV for the cell shown


Entry 6:
AcY3Ho8: optimized geometry, GGA-PBE.

abc: 8.5018 8.5018 8.5018
angles: 99.81 96.02 136.45
With the nearest neighbours (Å) after each atom.
Positions (direct):
Ac (0.0000, 0.0000, 0.0000)  10 Ho 3.58-3.71, 2 Y 3.59
Y (0.4050, 0.6573, 0.7477)  10 Ho 3.50-3.69, 1 Y 3.53, 1 Ac 3.59
Y (0.4958, 0.9958, 0.5000)  10 Ho 3.51-3.65, 2 Y 3.53
Y (0.9097, 0.6573, 0.2523)  10 Ho 3.50-3.69, 1 Y 3.53, 1 Ac 3.59
Ho (0.4171, 0.3317, 0.4230)  7 Ho 3.47-3.70, 4 Y 3.51-3.69, 1 Ac 3.58
Ho (0.4171, 0.9942, 0.0854)  7 Ho 3.47-3.70, 4 Y 3.51-3.69, 1 Ac 3.58
Ho (0.4920, 0.3207, 0.8287)  7 Ho 3.47-3.75, 3 Y 3.58-3.60, 2 Ac 3.63-3.71
Ho (0.4920, 0.6632, 0.1713)  7 Ho 3.47-3.75, 3 Y 3.58-3.60, 2 Ac 3.63-3.71
Ho (0.9087, 0.3317, 0.9146)  7 Ho 3.47-3.70, 4 Y 3.51-3.69, 1 Ac 3.58
Ho (0.9087, 0.9942, 0.5770)  7 Ho 3.47-3.70, 4 Y 3.51-3.69, 1 Ac 3.58
Ho (0.9937, 0.3289, 0.3352)  7 Ho 3.49-3.64, 4 Y 3.50-3.65, 1 Ac 3.67
Ho (0.9937, 0.6585, 0.6648)  7 Ho 3.49-3.64, 4 Y 3.50-3.65, 1 Ac 3.67

Computed properties:
- Energy relative to the elements: 2 kJ/mol of atoms
- Space-group type: Imm2
- DOS(E_F): 1.8026 states/eV per atom
- E: -59.859 eV for the cell shown


Entry 7:
Ca2In2Te: optimized geometry, GGA-PBE.

abc: 8.2153 8.2153 4.5199
angles: 90.00 90.00 90.00
With the nearest neighbours (Å) after each atom.
Positions (direct):
Ca (0.1710, 0.3290, 0.0000)  6 In 3.25-3.35
Ca (0.3290, 0.8290, 0.0000)  6 In 3.25-3.35
Ca (0.6710, 0.1710, 0.0000)  6 In 3.25-3.35
Ca (0.8290, 0.6710, 0.0000)  6 In 3.25-3.35
In (0.1275, 0.6275, 0.5000)  1 In 2.96, 2 Te 3.23, 2 Ca 3.25
In (0.3725, 0.1275, 0.5000)  1 In 2.96, 2 Te 3.23, 2 Ca 3.25
In (0.6275, 0.8725, 0.5000)  1 In 2.96, 2 Te 3.23, 2 Ca 3.25
In (0.8725, 0.3725, 0.5000)  1 In 2.96, 2 Te 3.23, 2 Ca 3.25
Te (0.0000, 0.0000, 0.5000)  4 In 3.23
Te (0.5000, 0.5000, 0.5000)  4 In 3.23

Computed properties:
- Space-group type: P4/mbm
- Formation energy without anion corrections: -0.482 eV/atom
- DOS(E_F): 0.6909 states/eV per atom
- E: -30.063 eV for the cell shown


Entry 8:
Ca3BrCl5: optimized geometry, GGA-PBE.

abc: 14.7427 14.7427 4.2307
angles: 90.00 90.00 144.02
With the nearest neighbours (Å) after each atom.
Positions (direct):
Ca (0.0000, 0.0000, 0.0000)  6 Cl 2.77-2.79
Ca (0.1642, 0.8358, 0.5000)  6 Cl 2.76-2.80
Ca (0.3264, 0.6736, 0.0000)  4 Cl 2.75-2.78, 2 Br 2.89
Ca (0.5000, 0.5000, 0.5000)  4 Cl 2.77, 2 Br 2.90
Ca (0.6736, 0.3264, 0.0000)  4 Cl 2.75-2.78, 2 Br 2.89
Ca (0.8358, 0.1642, 0.5000)  6 Cl 2.76-2.80
Br (0.3967, 0.6033, 0.5000)  3 Ca 2.89-2.90
Br (0.6033, 0.3967, 0.5000)  3 Ca 2.89-2.90
Cl (0.0272, 0.3631, 0.0000)  3 Ca 2.76-2.78
Cl (0.0646, 0.9354, 0.5000)  3 Ca 2.79
Cl (0.2639, 0.7361, 0.5000)  3 Ca 2.75-2.80
Cl (0.3037, 0.3037, 0.0000)  3 Ca 2.77
Cl (0.3631, 0.0272, 0.0000)  3 Ca 2.76-2.78
Cl (0.6369, 0.9728, 0.0000)  3 Ca 2.76-2.78
Cl (0.6963, 0.6963, 0.0000)  3 Ca 2.77
Cl (0.7361, 0.2639, 0.5000)  3 Ca 2.75-2.80
Cl (0.9354, 0.0646, 0.5000)  3 Ca 2.79
Cl (0.9728, 0.6369, 0.0000)  3 Ca 2.76-2.78

Computed properties:
- Space-group type: Cmmm
- Formation energy without anion corrections: -2.331 eV/atom
- DOS(E_F): 0.0000 states/eV per atom
- E: -75.781 eV for the cell shown